# Na3Fe2Ge3O12

An optimized crystal structure of Na3Fe2Ge3O12 (PBE+U, Alexandria via LeMat-Bulk).

abc: 10.7407 10.7407 10.7407
angles: 109.47 109.47 109.47
Element x y z (fractional)
1 Na 0.1250 0.2500 0.3750
2 Na 0.1250 0.3750 0.7500
3 Na 0.2500 0.3750 0.1250
4 Na 0.2500 0.8750 0.6250
5 Na 0.3750 0.1250 0.2500
6 Na 0.3750 0.7500 0.1250
7 Na 0.6250 0.2500 0.8750
8 Na 0.6250 0.8750 0.7500
9 Na 0.7500 0.1250 0.3750
10 Na 0.7500 0.6250 0.8750
11 Na 0.8750 0.6250 0.2500
12 Na 0.8750 0.7500 0.6250
13 Fe 0.0000 0.0000 0.0000
14 Fe 0.0000 0.0000 0.5000
15 Fe 0.0000 0.5000 0.0000
16 Fe 0.0000 0.5000 0.5000
17 Fe 0.5000 0.0000 0.0000
18 Fe 0.5000 0.0000 0.5000
19 Fe 0.5000 0.5000 0.0000
20 Fe 0.5000 0.5000 0.5000
21 Ge 0.1250 0.7500 0.8750
22 Ge 0.1250 0.8750 0.2500
23 Ge 0.2500 0.1250 0.8750
24 Ge 0.2500 0.6250 0.3750
25 Ge 0.3750 0.2500 0.6250
26 Ge 0.3750 0.6250 0.7500
27 Ge 0.6250 0.3750 0.2500
28 Ge 0.6250 0.7500 0.3750
29 Ge 0.7500 0.3750 0.6250
30 Ge 0.7500 0.8750 0.1250
31 Ge 0.8750 0.1250 0.7500
32 Ge 0.8750 0.2500 0.1250
33 O 0.0119 0.1945 0.1152
34 O 0.0119 0.3174 0.8967
35 O 0.0794 0.6945 0.6826
36 O 0.0794 0.8848 0.3967
37 O 0.1033 0.6152 0.4206
38 O 0.1033 0.9881 0.6826
39 O 0.1152 0.0119 0.1945
40 O 0.1152 0.6033 0.9206
41 O 0.1826 0.1945 0.5794
42 O 0.1826 0.4881 0.6033
43 O 0.1945 0.1152 0.0119
44 O 0.1945 0.5794 0.1826
45 O 0.3055 0.3174 0.9206
46 O 0.3055 0.4881 0.3848
47 O 0.3174 0.8967 0.0119
48 O 0.3174 0.9206 0.3055
49 O 0.3848 0.3055 0.4881
50 O 0.3848 0.5794 0.8967
51 O 0.3967 0.0794 0.8848
52 O 0.3967 0.8174 0.5119
53 O 0.4206 0.1033 0.6152
54 O 0.4206 0.8174 0.8055
55 O 0.4881 0.3848 0.3055
56 O 0.4881 0.6033 0.1826
57 O 0.5119 0.3967 0.8174
58 O 0.5119 0.6152 0.6945
59 O 0.5794 0.1826 0.1945
60 O 0.5794 0.8967 0.3848
61 O 0.6033 0.1826 0.4881
62 O 0.6033 0.9206 0.1152
63 O 0.6152 0.4206 0.1033
64 O 0.6152 0.6945 0.5119
65 O 0.6826 0.0794 0.6945
66 O 0.6826 0.1033 0.9881
67 O 0.6945 0.5119 0.6152
68 O 0.6945 0.6826 0.0794
69 O 0.8055 0.4206 0.8174
70 O 0.8055 0.8848 0.9881
71 O 0.8174 0.5119 0.3967
72 O 0.8174 0.8055 0.4206
73 O 0.8848 0.3967 0.0794
74 O 0.8848 0.9881 0.8055
75 O 0.8967 0.0119 0.3174
76 O 0.8967 0.3848 0.5794
77 O 0.9206 0.1152 0.6033
78 O 0.9206 0.3055 0.3174
79 O 0.9881 0.6826 0.1033
80 O 0.9881 0.8055 0.8848

Results
Crystal system: cubic
Space-group type: No. 230
Total energy: -5.860 eV/atom